Compound: Pa2VPb
Source: Alexandria via LeMat-Bulk
Functional: PBE
Structure: relaxed

ΔE to the lowest computed polymorph: 0 meV/atom
space-group type: P4/mmm (123)

```
Pa2VPb
1.0
3.192 0.000 0.000
0.000 3.192 0.000
0.000 0.000 9.200
Pb Pa V
1 2 1
Direct
0.500 0.500 0.500
0.000 0.000 0.791
0.000 0.000 0.209
0.500 0.500 0.000
```

Compound: Pa2VPb
Source: Alexandria via LeMat-Bulk
Functional: PBE
Structure: relaxed

ΔE to the lowest computed polymorph: 402 meV/atom
space-group type: R-3m (166)

```
Pa2VPb
1.0
-0.666 3.521 -1.183
-0.732 0.660 -3.643
-8.612 0.339 -0.163
Pa Pb V
2 1 1
Direct
0.729 0.729 0.814
0.271 0.271 0.186
0.500 0.500 0.500
0.000 0.000 0.000
```

Compound: PaV2Pb
Source: Alexandria via LeMat-Bulk
Functional: PBE
Structure: relaxed

space-group type: R-3m (166)

```
PaV2Pb
1.0
4.725 0.000 0.000
2.363 4.092 0.000
2.363 1.364 3.877
Pb Pa V
1 1 2
Direct
0.000 0.000 0.000
0.500 0.500 0.500
0.249 0.249 0.253
0.751 0.751 0.747
```

Compound: PaVPb
Source: Alexandria via LeMat-Bulk
Functional: PBE
Structure: relaxed

space-group type: I4/mmm (139)

```
PaVPb
1.0
-0.380 -4.504 -0.224
1.494 -0.338 4.259
-7.214 2.864 0.353
V Pa Pb
2 2 2
Direct
0.000 0.500 0.000
0.500 0.000 0.000
0.873 0.873 0.746
0.127 0.127 0.254
0.365 0.365 0.729
0.635 0.635 0.271
```

Record order is preserved below.
VASP energy: -7.803; -7.402; -7.576; -7.217 eV/atom
Record order is preserved below.
ΔE_f: 0.151; 0.553; 0.284; 0.224 eV/atom